Entry 1:
This record from the Alexandria database describes a relaxed LiNdThSc crystal. The functional is PBE.

abc: 7.6360 7.6360 7.6360
angles: 90.00 90.00 90.00
With the nearest neighbours (Å) after each atom.
Space group F-43m (No. 216)
Inequivalent atoms, fractional coordinates:
Li 0.0000 0.0000 0.0000 [4 per cell]  4 Th 3.31, 4 Nd 3.31
Nd 0.2500 0.2500 0.7500 [4 per cell]  4 Li 3.31, 4 Sc 3.31
Th 0.2500 0.2500 0.2500 [4 per cell]  4 Li 3.31, 4 Sc 3.31
Sc 0.0000 0.0000 0.5000 [4 per cell]  4 Th 3.31, 4 Nd 3.31

The calculation puts the calculated total energy at -4.92 eV per atom. As for the formation energy: 189 meV/atom. The calculation puts the volume at 27.83 Å³/atom.

---

Entry 2:
This record from the Alexandria database describes a relaxed LiNdScTl crystal. The functional is PBE.

abc: 7.4055 7.4055 7.4055
angles: 90.00 90.00 90.00
With the nearest neighbours (Å) after each atom.
Space group F-43m (No. 216)
Inequivalent atoms, fractional coordinates:
Li 0.0000 0.0000 0.0000 [4 per cell]  4 Nd 3.21, 4 Sc 3.21
Nd 0.2500 0.2500 0.7500 [4 per cell]  4 Tl 3.21, 4 Li 3.21
Sc 0.2500 0.2500 0.2500 [4 per cell]  4 Tl 3.21, 4 Li 3.21
Tl 0.0000 0.0000 0.5000 [4 per cell]  4 Sc 3.21, 4 Nd 3.21

The calculation puts the calculated total energy at -4.02 eV per atom. As for the formation energy: -170 meV/atom. The calculation puts the volume at 25.38 Å³/atom.